(1)
A plane-wave DFT calculation with PBE-GGA was carried out for a relaxed SrBeTe2W crystal.

- Crystal system: tetragonal
- Formation energy without anion corrections: 198 kJ/mol of atoms
- Total energy: -14.38 eV per formula unit
- Total magnetic moment: 3.4 μB/cell
- Calculated volume: 45.793 A^3/atom

abc: 6.1164 6.1203 6.1164
angles: 90.00 90.00 90.00
Site moments in Bohr magnetons follow the coordinates.
Fractional coordinates of all 5 atoms:
W  0.0000  0.5000  0.0000  3.36
Te  0.5000  0.0000  0.0000  -0.30
Be  0.5000  0.5000  0.5000  -0.11
Te  0.0000  0.0000  0.5000  -0.32
Sr  0.0000  0.0000  0.0000  0.05

(2)
A plane-wave DFT calculation with PBE-GGA was carried out for a relaxed HfMnCo10 crystal.

- Crystal system: orthorhombic
- Total energy: -89.43 eV per formula unit
- DFT formation energy: 0.063 eV per atom
- Total magnetic moment: 19.0 μB/cell
- Calculated volume: 12.709 A^3/atom

abc: 4.0010 4.7018 8.1068
angles: 90.00 90.00 90.00
Site moments in Bohr magnetons follow the coordinates.
Fractional coordinates of all 12 atoms:
Co  0.0000  0.5000  0.1797  1.41
Co  0.5000  0.2480  0.2483  1.64
Co  0.5000  0.0000  0.5000  1.75
Co  0.0000  0.0000  0.6590  1.58
Mn  0.0000  0.5000  0.5000  3.71
Hf  0.0000  0.0000  0.0000  -0.40
Co  0.5000  0.5000  0.0000  1.56
Co  0.5000  0.2480  0.7517  1.64
Co  0.0000  0.0000  0.3410  1.58
Co  0.0000  0.5000  0.8203  1.41
Co  0.5000  0.7520  0.2483  1.64
Co  0.5000  0.7520  0.7517  1.64

(3)
A plane-wave DFT calculation with PBE-GGA was carried out for a relaxed Ce4Ga3Tc crystal.

- Crystal system: monoclinic
- Total energy: -46.24 eV per formula unit
- DFT formation energy: -0.383 eV per atom
- Total magnetic moment: 0.0 μB/cell
- Calculated volume: 21.773 A^3/atom

abc: 4.4753 4.5435 9.0833
angles: 77.09 104.26 90.00
Fractional coordinates of all 8 atoms:
Tc  0.5000  0.0000  0.0000
Ce  0.1181  0.9032  0.2361
Ce  0.8819  0.0968  0.7639
Ce  0.6192  0.3372  0.2385
Ga  0.7504  0.7084  0.5008
Ce  0.3808  0.6628  0.7615
Ga  0.2496  0.2916  0.4992
Ga  0.0000  0.5000  0.0000

(4)
A plane-wave DFT calculation with PBE-GGA was carried out for a relaxed Sm5ScBi6 crystal.

- Crystal system: monoclinic
- Total energy: -63.64 eV per formula unit
- DFT formation energy: -0.869 eV per atom
- Total magnetic moment: 0.0 μB/cell
- Calculated volume: 32.530 A^3/atom

abc: 7.8230 7.8168 7.8212
angles: 60.02 80.37 70.44
Fractional coordinates of all 12 atoms:
Bi  0.7580  0.4031  0.6769
Sc  0.0000  0.0000  0.0000
Bi  0.7531  0.7602  0.0000
Bi  0.2420  0.9200  0.6769
Sm  0.0000  0.3349  0.3302
Sm  0.5000  0.5000  0.0000
Bi  0.7580  0.0800  0.3231
Bi  0.2420  0.5969  0.3231
Sm  0.5000  0.8288  0.3424
Bi  0.2469  0.2398  0.0000
Sm  0.5000  0.1712  0.6576
Sm  0.0000  0.6651  0.6698

(5)
A plane-wave DFT calculation with PBE-GGA was carried out for a relaxed NbZnGa2 crystal.

- Crystal system: tetragonal
- Total energy: -18.21 eV per formula unit
- DFT formation energy: -0.204 eV per atom
- Total magnetic moment: 0.0 μB/cell
- Calculated volume: 15.838 A^3/atom

abc: 3.8727 4.0446 4.0446
angles: 90.00 90.00 90.00
Fractional coordinates of all 4 atoms:
Zn  0.5000  0.0000  0.0000
Ga  0.0000  0.5000  0.0000
Ga  0.0000  0.0000  0.5000
Nb  0.5000  0.5000  0.5000

(6)
A plane-wave DFT calculation with PBE-GGA was carried out for a relaxed Sm2TmPa2Rh5 crystal.

- Crystal system: tetragonal
- Total energy: -76.40 eV per formula unit
- DFT formation energy: -0.674 eV per atom
- Total magnetic moment: 0.0 μB/cell
- Calculated volume: 21.356 A^3/atom

abc: 3.5954 10.8994 10.8994
angles: 90.00 90.00 90.00
Fractional coordinates of all 20 atoms:
Rh  0.5000  0.4468  0.2994
Rh  0.5000  0.5000  0.0000
Rh  0.5000  0.2994  0.5532
Rh  0.5000  0.9468  0.2006
Sm  0.0000  0.6711  0.1711
Rh  0.5000  0.0000  0.5000
Rh  0.5000  0.7006  0.4468
Pa  0.0000  0.8628  0.3628
Tm  0.0000  0.5000  0.5000
Rh  0.5000  0.7994  0.9468
Pa  0.0000  0.6372  0.8628
Sm  0.0000  0.3289  0.8289
Tm  0.0000  0.0000  0.0000
Pa  0.0000  0.1372  0.6372
Rh  0.5000  0.0532  0.7994
Pa  0.0000  0.3628  0.1372
Sm  0.0000  0.1711  0.3289
Rh  0.5000  0.5532  0.7006
Rh  0.5000  0.2006  0.0532
Sm  0.0000  0.8289  0.6711

(7)
A plane-wave DFT calculation with PBE-GGA was carried out for a relaxed CdAs crystal.

- Excess energy over the best structure of this formula in the dataset: 212 meV per atom
- Crystal system: cubic
- Total energy: -5.30 eV per formula unit
- DFT formation energy: 0.130 eV per atom
- Total magnetic moment: 0.0 μB/cell
- Calculated volume: 22.641 A^3/atom

abc: 5.6580 5.6580 5.6580
angles: 90.00 90.00 90.00
Fractional coordinates of all 8 atoms:
Cd  0.5192  0.4808  0.9808
As  0.5197  0.9803  0.0197
As  0.4803  0.4803  0.4803
Cd  0.0192  0.0192  0.0192
Cd  0.9808  0.5192  0.4808
As  0.0197  0.5197  0.9803
As  0.9803  0.0197  0.5197
Cd  0.4808  0.9808  0.5192

(8)
A plane-wave DFT calculation with PBE-GGA was carried out for a relaxed Cu2HgW crystal.

- Crystal system: tetragonal
- Total energy: -20.10 eV per formula unit
- DFT formation energy: 0.337 eV per atom
- Total magnetic moment: 0.0 μB/cell
- Calculated volume: 15.408 A^3/atom

abc: 2.8047 2.8047 7.8346
angles: 90.00 90.00 90.03
Fractional coordinates of all 4 atoms:
Hg  0.5000  0.5000  0.2500
Cu  0.0000  0.0000  0.5159
W  0.5000  0.5000  0.7500
Cu  0.0000  0.0000  0.9841

(9)
A plane-wave DFT calculation with PBE-GGA was carried out for a relaxed DyHo4Hg crystal.

- Excess energy over the best structure of this formula in the dataset: 0 meV per atom
- Crystal system: tetragonal
- Total energy: -24.07 eV per formula unit
- DFT formation energy: -0.143 eV per atom
- Total magnetic moment: 0.0 μB/cell
- Calculated volume: 29.377 A^3/atom

abc: 3.5512 3.5512 13.9773
angles: 90.00 90.00 90.00
Fractional coordinates of all 6 atoms:
Ho  0.0000  0.0000  0.6441
Ho  0.0000  0.0000  0.3559
Hg  0.5000  0.5000  0.5000
Ho  0.5000  0.5000  0.8225
Dy  0.0000  0.0000  0.0000
Ho  0.5000  0.5000  0.1775

(10)
A plane-wave DFT calculation with PBE-GGA was carried out for a relaxed TaFe2IBr crystal.

- Crystal system: tetragonal
- Formation energy without anion corrections: 139 kJ/mol of atoms
- Total energy: -24.82 eV per formula unit
- Total magnetic moment: 3.8 μB/cell
- Calculated volume: 20.148 A^3/atom

abc: 4.5072 4.9589 4.5072
angles: 90.00 90.00 90.00
Site moments in Bohr magnetons follow the coordinates.
Fractional coordinates of all 5 atoms:
I  0.5000  0.5000  0.5000  0.08
Br  0.0000  0.0000  0.0000  -0.04
Ta  0.0000  0.5000  0.0000  -0.53
Fe  0.0000  0.0000  0.5000  2.04
Fe  0.5000  0.0000  0.0000  2.53

(11)
A plane-wave DFT calculation with PBE-GGA was carried out for a relaxed TbMn6Ge6 crystal.

- Crystal system: hexagonal
- Total energy: -91.40 eV per formula unit
- DFT formation energy: -0.312 eV per atom
- Total magnetic moment: 11.8 μB/cell
- Calculated volume: 14.560 A^3/atom

abc: 5.1723 5.1723 8.1697
angles: 90.00 90.00 120.00
Site moments in Bohr magnetons follow the coordinates.
Fractional coordinates of all 13 atoms:
Mn  0.5000  0.0000  0.2510  2.11
Mn  0.5000  0.0000  0.7490  2.11
Ge  0.6667  0.3333  0.0000  -0.11
Mn  0.5000  0.5000  0.2510  2.11
Ge  0.0000  0.0000  0.3447  -0.10
Ge  0.6667  0.3333  0.5000  -0.11
Mn  0.5000  0.5000  0.7490  2.11
Ge  0.3333  0.6667  0.0000  -0.11
Mn  0.0000  0.5000  0.7490  2.11
Ge  0.0000  0.0000  0.6553  -0.10
Mn  0.0000  0.5000  0.2510  2.11
Tb  0.0000  0.0000  0.0000  -0.28
Ge  0.3333  0.6667  0.5000  -0.11

(12)
A plane-wave DFT calculation with PBE-GGA was carried out for a relaxed BaGa2SiI crystal.

- Crystal system: tetragonal
- Formation energy without anion corrections: 53 kJ/mol of atoms
- Total energy: -12.18 eV per formula unit
- Total magnetic moment: 0.9 μB/cell
- Calculated volume: 43.738 A^3/atom

abc: 5.7956 6.5108 5.7956
angles: 90.00 90.00 90.00
Site moments in Bohr magnetons follow the coordinates.
Fractional coordinates of all 5 atoms:
Si  0.5000  0.5000  0.5000  0.26
Ga  0.5000  0.0000  0.0000  -0.02
Ga  0.0000  0.0000  0.5000  -0.01
Ba  0.0000  0.5000  0.0000  0.01
I  0.0000  0.0000  0.0000  0.00

(13)
A plane-wave DFT calculation with PBE-GGA was carried out for a relaxed NaInSbAu crystal.

- Crystal system: cubic
- Formation energy without anion corrections: -11 kJ/mol of atoms
- Total energy: -11.91 eV per formula unit
- Total magnetic moment: 0.0 μB/cell
- Calculated volume: 23.986 A^3/atom

abc: 5.1386 5.1386 5.1386
angles: 60.00 60.00 60.00
Fractional coordinates of all 4 atoms:
Au  0.0000  0.0000  0.0000
In  0.5000  0.5000  0.5000
Sb  0.7500  0.7500  0.7500
Na  0.2500  0.2500  0.2500

(14)
A plane-wave DFT calculation with PBE-GGA was carried out for a relaxed NaGa3Au9 crystal.

- Crystal system: monoclinic
- Total energy: -41.89 eV per formula unit
- DFT formation energy: -0.153 eV per atom
- Total magnetic moment: 0.0 μB/cell
- Calculated volume: 18.685 A^3/atom

abc: 5.4527 6.8916 7.3277
angles: 83.35 68.16 71.87
Fractional coordinates of all 13 atoms:
Au  0.4673  0.7844  0.2164
Au  0.9542  0.6665  0.3556
Au  0.6902  0.3335  0.3556
Ga  0.5000  0.0000  0.5000
Ga  0.0000  0.0000  0.5000
Ga  0.5000  0.5000  0.0000
Au  0.0458  0.3335  0.6444
Au  0.6837  0.7844  0.7836
Au  0.3163  0.2156  0.2164
Au  0.5327  0.2156  0.7836
Na  0.0000  0.0000  0.0000
Au  0.3098  0.6665  0.6444
Au  0.0000  0.5000  0.0000

(15)
A plane-wave DFT calculation with PBE-GGA was carried out for a relaxed Al3CoSi crystal.

- Excess energy over the best structure of this formula in the dataset: 0 meV per atom
- Crystal system: cubic
- Formation energy without anion corrections: 21 kJ/mol of atoms
- Total energy: -22.65 eV per formula unit
- Total magnetic moment: 0.0 μB/cell
- Calculated volume: 17.647 A^3/atom

abc: 4.4519 4.4519 4.4519
angles: 90.00 90.00 90.00
Fractional coordinates of all 5 atoms:
Al  0.0000  0.5000  0.0000
Al  0.5000  0.0000  0.0000
Al  0.0000  0.0000  0.5000
Si  0.5000  0.5000  0.5000
Co  0.0000  0.0000  0.0000

(16)
A plane-wave DFT calculation with PBE-GGA was carried out for a relaxed MnCoOs2 crystal.

- Excess energy over the best structure of this formula in the dataset: 649 meV per atom
- Crystal system: tetragonal
- Total energy: -35.88 eV per formula unit
- DFT formation energy: 0.713 eV per atom
- Total magnetic moment: 4.3 μB/cell
- Calculated volume: 14.359 A^3/atom

abc: 3.6722 3.6722 8.9056
angles: 78.10 78.10 90.00
Site moments in Bohr magnetons follow the coordinates.
Fractional coordinates of all 8 atoms:
Os  0.8750  0.8922  0.7500  -0.21
Co  0.0000  0.0000  0.0000  -0.13
Os  0.6422  0.1250  0.2500  -0.21
Mn  0.2500  0.7500  0.5000  2.58
Os  0.1078  0.6250  0.2500  -0.21
Os  0.3750  0.3578  0.7500  -0.21
Co  0.7500  0.2500  0.5000  -0.13
Mn  0.5000  0.5000  0.0000  2.58

(17)
A plane-wave DFT calculation with PBE-GGA was carried out for a relaxed Li2Se2I crystal.

- Crystal system: tetragonal
- Formation energy without anion corrections: -46 kJ/mol of atoms
- Total energy: -14.75 eV per formula unit
- Total magnetic moment: 0.0 μB/cell
- Calculated volume: 24.528 A^3/atom

abc: 7.9566 7.9566 3.8744
angles: 90.00 90.00 90.00
Fractional coordinates of all 10 atoms:
Li  0.1489  0.6489  0.5000
Li  0.6489  0.8511  0.5000
I  0.5000  0.5000  0.0000
Li  0.3511  0.1489  0.5000
Se  0.6883  0.1883  0.0000
Se  0.3117  0.8117  0.0000
I  0.0000  0.0000  0.0000
Li  0.8511  0.3511  0.5000
Se  0.8117  0.6883  0.0000
Se  0.1883  0.3117  0.0000

(18)
A plane-wave DFT calculation with PBE-GGA was carried out for a relaxed SrInCoSn2 crystal.

- Crystal system: tetragonal
- Total energy: -20.39 eV per formula unit
- DFT formation energy: -0.172 eV per atom
- Total magnetic moment: 0.0 μB/cell
- Calculated volume: 25.582 A^3/atom

abc: 5.0389 5.0389 5.0377
angles: 90.00 90.00 90.00
Fractional coordinates of all 5 atoms:
Sn  0.5000  0.0000  0.0000
Sn  0.0000  0.5000  0.0000
In  0.0000  0.0000  0.5000
Sr  0.5000  0.5000  0.5000
Co  0.0000  0.0000  0.0000

(19)
A plane-wave DFT calculation with PBE-GGA was carried out for a relaxed VTc2HW crystal.

- Crystal system: tetragonal
- Total energy: -45.89 eV per formula unit
- Total magnetic moment: 0.0 μB/cell
- Calculated volume: 12.197 A^3/atom

abc: 4.0035 4.0035 3.8050
angles: 90.00 90.00 90.00
Fractional coordinates of all 5 atoms:
H  0.0000  0.0000  0.0000
Tc  0.0000  0.5000  0.0000
W  0.5000  0.5000  0.5000
V  0.0000  0.0000  0.5000
Tc  0.5000  0.0000  0.0000

(20)
A plane-wave DFT calculation with PBE-GGA was carried out for a relaxed TaPtIO2 crystal.

- Excess energy over the best structure of this formula in the dataset: 1943 meV per atom
- Crystal system: tetragonal
- Formation energy without anion corrections: 80 kJ/mol of atoms
- Total energy: -25.23 eV per formula unit
- Total magnetic moment: 2.0 μB/cell
- Calculated volume: 17.940 A^3/atom

abc: 4.0674 4.0674 5.4222
angles: 90.00 90.00 90.00
Site moments in Bohr magnetons follow the coordinates.
Fractional coordinates of all 5 atoms:
O  0.0000  0.5000  0.0000  -0.18
Pt  0.0000  0.0000  0.0000  -0.23
O  0.5000  0.0000  0.0000  -0.18
I  0.0000  0.0000  0.5000  -0.01
Ta  0.5000  0.5000  0.5000  1.81

(21)
A plane-wave DFT calculation with PBE-GGA was carried out for a relaxed KNb3Ni crystal.

- Excess energy over the best structure of this formula in the dataset: 1503 meV per atom
- Crystal system: cubic
- Total energy: -23.19 eV per formula unit
- DFT formation energy: 2.779 eV per atom
- Total magnetic moment: 1.4 μB/cell
- Calculated volume: 19.121 A^3/atom

abc: 4.5725 4.5725 4.5725
angles: 90.00 90.00 90.00
Site moments in Bohr magnetons follow the coordinates.
Fractional coordinates of all 5 atoms:
K  0.0000  0.0000  0.0000  0.07
Nb  0.0000  0.0000  0.5000  0.27
Ni  0.5000  0.5000  0.5000  0.62
Nb  0.5000  0.0000  0.0000  0.20
Nb  0.0000  0.5000  0.0000  0.17

(22)
A plane-wave DFT calculation with PBE-GGA was carried out for a relaxed InSiAs4 crystal.

- Crystal system: cubic
- Formation energy without anion corrections: 51 kJ/mol of atoms
- Total energy: -23.60 eV per formula unit
- Total magnetic moment: 0.0 μB/cell
- Calculated volume: 21.432 A^3/atom

abc: 5.6655 5.6655 5.6655
angles: 60.00 60.00 60.00
Fractional coordinates of all 6 atoms:
As  0.3726  0.3726  0.8821
Si  0.0000  0.0000  0.0000
As  0.3726  0.3726  0.3726
As  0.3726  0.8821  0.3726
As  0.8821  0.3726  0.3726
In  0.7500  0.7500  0.7500